Record 1
VASP calculation (PBE-GGA) on an optimized crystal structure of DyPuMgHg.

Structure (POSCAR):
```
DyPuMgHg
1.0
5.3144 0.0000 0.0000
2.6572 4.6024 0.0000
2.6572 1.5341 4.3392
Mg Dy Hg Pu
1 1 1 1
Direct
0.0000 0.0000 0.0000
0.2500 0.2500 0.2500
0.5000 0.5000 0.5000
0.7500 0.7500 0.7500
```

Values from the calculation:
ΔH_f (0 K) = -0.064 eV/atom

Record 2
VASP calculation (PBE-GGA) on an optimized crystal structure of DyMgHgRh.

Structure (POSCAR):
```
DyMgHgRh
1.0
4.8689 0.0000 0.0000
2.4345 4.2166 0.0000
2.4345 1.4055 3.9755
Mg Rh Hg Dy
1 1 1 1
Direct
0.0000 0.0000 0.0000
0.7500 0.7500 0.7500
0.2500 0.2500 0.2500
0.5000 0.5000 0.5000
```

Values from the calculation:
ΔH_f (0 K) = -0.476 eV/atom

Record 3
VASP calculation (PBE-GGA) on an optimized crystal structure of DyMgHgRu.

Structure (POSCAR):
```
DyMgHgRu
1.0
-2.7623 3.9732 0.3238
-4.2121 -0.1639 2.3984
-0.4620 2.2925 4.2488
Ru Mg Hg Dy
1 1 1 1
Direct
0.2500 0.2500 0.2500
0.5000 0.5000 0.5000
0.7500 0.7500 0.7500
0.0000 0.0000 0.0000
```

Values from the calculation:
ΔH_f (0 K) = -0.157 eV/atom

Record 4
VASP calculation (PBE-GGA) on an optimized crystal structure of DyMgHgSb.

Structure (POSCAR):
```
DyMgHgSb
1.0
-1.5087 4.9957 -0.1080
-3.1579 1.8536 3.7198
1.8372 3.3584 3.5484
Sb Mg Hg Dy
1 1 1 1
Direct
0.0000 0.0000 0.0000
0.7500 0.7500 0.7500
0.5000 0.5000 0.5000
0.2500 0.2500 0.2500
```

Values from the calculation:
E = -3.051 eV/atom

Record 5
VASP calculation (PBE-GGA) on an optimized crystal structure of DyMg2ScHg4.

Structure (POSCAR):
```
DyMg2ScHg4
1.0
4.9884 0.0000 0.0000
2.4942 4.3201 0.0000
2.4942 1.4400 8.1888
Dy Mg Sc Hg
1 2 1 4
Direct
0.0000 0.0000 0.0000
0.7505 0.7505 0.7485
0.2495 0.2495 0.2515
0.5000 0.5000 0.5000
0.3788 0.3788 0.8637
0.8724 0.8724 0.3827
0.1276 0.1276 0.6173
0.6212 0.6212 0.1363
```

Values from the calculation:
ΔH_f (0 K) = -0.422 eV/atom

Record 6
VASP calculation (PBE-GGA) on an optimized crystal structure of SmDyMg2Hg4.

Structure (POSCAR):
```
SmDyMg2Hg4
1.0
-1.4998 2.1845 4.3551
-4.9673 0.3853 1.0798
-1.9029 -6.5767 5.6271
Sm Dy Mg Hg
1 1 2 4
Direct
0.0000 0.0000 0.0000
0.5000 0.5000 0.5000
0.7503 0.7503 0.7492
0.2497 0.2497 0.2508
0.3770 0.3770 0.8692
0.8737 0.8737 0.3789
0.1263 0.1263 0.6211
0.6230 0.6230 0.1308
```

Values from the calculation:
ΔH_f (0 K) = -0.466 eV/atom